Computed, not measured: a relaxed structure of Sm3Sc5Te12 at the PBE level of DFT.

Geometry as POSCAR:
```
Sm3Sc5Te12
1.0
15.329 0.000 0.000
-5.110 14.452 0.000
-5.110 -7.226 12.516
Sc Te Sm
20 48 12
Cartesian
-1.277 3.613 3.129 Sc
-2.555 7.226 0.000 Sc
0.000 0.000 0.000 Sc
3.832 2.710 1.565 Sc
5.110 -3.613 6.258 Sc
5.110 7.226 0.000 Sc
-3.832 8.129 4.694 Sc
6.387 -4.516 10.952 Sc
6.387 6.323 4.694 Sc
1.277 -3.613 9.387 Sc
3.832 10.839 3.129 Sc
2.555 3.613 6.258 Sc
7.665 0.000 0.000 Sc
-2.555 -3.613 6.258 Sc
-1.277 0.903 7.823 Sc
-1.277 11.743 1.565 Sc
-5.110 3.613 6.258 Sc
8.942 -0.903 7.823 Sc
1.277 4.516 10.952 Sc
6.387 3.613 9.387 Sc
10.133 1.514 0.511 Te
0.086 4.812 5.203 Te
11.339 3.368 3.550 Te
6.545 2.223 1.566 Te
1.951 5.471 8.455 Te
10.821 7.176 2.197 Te
-1.119 8.372 5.116 Te
-3.990 12.230 1.566 Te
0.604 8.981 8.455 Te
7.063 7.276 2.197 Te
7.751 3.928 4.692 Te
7.751 12.939 0.511 Te
-4.506 6.445 6.769 Te
3.156 5.348 1.142 Te
-5.196 10.525 4.692 Te
2.641 -2.414 7.314 Te
-0.604 0.974 2.708 Te
3.156 9.154 1.055 Te
6.545 11.084 3.550 Te
-0.601 5.298 1.055 Te
-3.159 8.200 9.808 Te
3.674 6.081 5.116 Te
7.060 8.007 6.769 Te
5.711 -1.878 11.374 Te
1.435 1.145 7.400 Te
-1.951 -0.781 5.747 Te
-0.601 9.104 1.142 Te
-1.435 -3.858 8.966 Te
8.269 -0.974 2.708 Te
5.711 1.928 11.461 Te
1.953 -1.928 11.461 Te
2.469 9.640 5.203 Te
5.714 6.252 9.808 Te
10.306 -3.299 7.824 Te
9.615 0.781 5.747 Te
-2.641 -5.713 12.005 Te
1.953 1.878 11.374 Te
4.506 -1.755 4.061 Te
-1.953 -0.050 10.319 Te
-2.641 3.299 7.824 Te
9.100 -5.004 10.950 Te
6.229 -1.145 7.400 Te
-1.435 5.004 10.950 Te
-5.711 0.050 10.319 Te
3.159 1.755 4.061 Te
-6.229 3.858 8.966 Te
5.024 2.414 7.314 Te
-5.024 5.713 12.005 Te
8.942 4.516 1.565 Sm
8.942 9.936 1.565 Sm
-1.277 6.323 7.823 Sm
1.277 -0.903 4.694 Sm
11.497 0.000 3.129 Sm
1.277 7.226 3.129 Sm
3.832 0.000 9.387 Sm
-6.387 7.226 9.387 Sm
3.832 8.129 7.823 Sm
6.387 0.903 4.694 Sm
-3.832 -2.710 10.952 Sm
-3.832 2.710 10.952 Sm
```

## Properties
**ΔE_f (raw)**: -1.13 eV per atom
**Magnetization**: 0.00 Bohr magnetons per cell
**Space-group type**: Ia-3d
**E**: -424.70 eV per cell